Entry 1:
Below is a relaxed Sc2PaAl crystal, with properties calculated at the GGA-PBE level.

Structure (POSCAR):
```
Sc2PaAl
1.0
4.982 0.000 0.000
2.491 4.315 0.000
2.491 1.438 4.068
Sc Pa Al
2 1 1
direct
0.250 0.250 0.250 Sc
0.750 0.750 0.750 Sc
0.000 0.000 0.000 Pa
0.500 0.500 0.500 Al
```

## Properties
Offset from the most stable computed form, meV/atom: 215.9
Energy of formation, eV per atom: 0.05
Size of the total moment, μB per formula unit: 1.18



Entry 2:
Below is a relaxed PmErTm crystal, with properties calculated at the GGA-PBE level.

Structure (POSCAR):
```
PmErTm
1.0
3.547 0.000 0.000
0.000 3.547 0.000
-1.774 -1.774 7.538
Er Tm Pm
1 1 1
direct
0.331 0.331 0.663 Er
0.668 0.668 0.337 Tm
0.000 0.000 0.000 Pm
```

## Properties
Offset from the most stable computed form, meV/atom: 0.0
Energy of formation, eV per atom: 0.03
Size of the total moment, μB per formula unit: 0.00



Entry 3:
Below is a relaxed Nb2V5Re2 crystal, with properties calculated at the GGA-PBE level.

Structure (POSCAR):
```
Nb2V5Re2
1.0
-2.490 0.711 0.897
-2.998 -5.622 -3.959
-0.572 -4.614 4.789
Nb V Re
2 5 2
direct
0.775 0.884 0.673 Nb
0.225 0.116 0.327 Nb
0.554 0.768 0.329 V
0.446 0.232 0.671 V
0.113 0.548 0.666 V
0.887 0.452 0.334 V
0.000 0.000 0.000 V
0.327 0.664 0.008 Re
0.673 0.336 0.992 Re
```

## Properties
Energy of formation, eV per atom: -0.12
Size of the total moment, μB per formula unit: 0.00



Repeat the second record exactly.
Below is a relaxed PmErTm crystal, with properties calculated at the GGA-PBE level.

Structure (POSCAR):
```
PmErTm
1.0
3.547 0.000 0.000
0.000 3.547 0.000
-1.774 -1.774 7.538
Er Tm Pm
1 1 1
direct
0.331 0.331 0.663 Er
0.668 0.668 0.337 Tm
0.000 0.000 0.000 Pm
```

## Properties
Offset from the most stable computed form, meV/atom: 0.0
Energy of formation, eV per atom: 0.03
Size of the total moment, μB per formula unit: 0.00



Which value of size of the total moment does entry 1 give?
1.18 μB per formula unit